First-principles (SCAN) data for KSn3Au3 at its PBEsol-relaxed geometry, as listed in Alexandria.

Calculated values
Formation energy from the elements (eV/atom): -0.339
Space-group type: Pmmn
Total DFT energy (no corrections) (eV/atom): -46.563
Magnetic moment (μB/cell): 0.00

Cell and atoms, written as extended XYZ:
```
14
Lattice="-4.5823 0.8082 0.1211 -0.9946 -4.7581 -5.8747 -1.0914 -7.0739 5.9141" Properties=species:S:1:pos:R:3 pbc="T T T"
Sn -0.4193 -2.7175 2.2720
Sn -3.4605 -6.3312 0.7653
Sn -3.2159 -4.2475 -3.8839
Sn -1.2508 -7.6091 3.4545
Sn -2.6290 -1.4397 -0.4172
Sn -1.6585 -9.5594 1.0465
Au -3.8023 -8.5461 2.6171
Au -0.0775 -0.5027 0.4202
Au -3.5331 -6.3131 -2.0998
Au -0.9221 -5.4883 1.7386
Au -2.9577 -3.5605 1.2988
Au -1.3413 -7.4938 -0.7376
K -0.7829 -4.2305 -1.3895
K -3.0969 -4.8183 4.4268
```